Material: Tb4ErAl5
Method: DFT, GGA-PBE
State: optimized geometry

The value obtained for the magnetic moment is 0.0 μB per formula unit. The value obtained for the calculated formation energy is -394 meV per atom. The density of states at the Fermi level comes out at 0.47 states/eV/atom. The value obtained for the total energy is -45.74 eV for the cell shown.

Cell and atoms, written as POSCAR:
```
Tb4ErAl5
1.0
3.5948 0.0000 0.0000
0.0000 3.5948 0.0000
0.0000 0.0000 18.1375
Tb Al Er
4 5 1
Cartesian
0.0000 0.0000 7.2425
0.0000 0.0000 10.8950
0.0000 0.0000 14.5491
0.0000 0.0000 3.5885
1.7974 1.7974 9.0688
1.7974 1.7974 5.4178
1.7974 1.7974 16.3852
1.7974 1.7974 12.7197
1.7974 1.7974 1.7524
0.0000 0.0000 0.0000
```


Material: Tb2ErAl
Method: DFT, GGA-PBE
State: optimized geometry

The energy above the lowest structure with this stoichiometry comes out at 0.015 eV/atom. The value obtained for the magnetic moment is 0.0 μB per formula unit. The value obtained for the calculated formation energy is -173 meV per atom. The density of states at the Fermi level comes out at 0.95 states/eV/atom. The value obtained for the total energy is -36.51 eV for the cell shown.

Cell and atoms, written as POSCAR:
```
Tb2ErAl
1.0
-2.9473 4.3959 0.7189
-4.9743 -3.3750 0.2442
0.7269 -0.5932 6.6076
Tb Er Al
4 2 2
Cartesian
-2.1039 1.5040 2.0189
-1.7334 1.2016 5.3870
-3.6242 -3.2685 5.1281
-3.9806 -2.9777 1.8885
-1.4815 -1.5484 3.3944
-4.6030 0.0747 0.5131
-1.6789 -1.1392 0.0824
-4.4056 -0.3346 3.8250
```


Material: Tb2ErAl9
Method: DFT, GGA-PBE
State: optimized geometry

The energy above the lowest structure with this stoichiometry comes out at 0.000 eV/atom. The value obtained for the magnetic moment is 0.0 μB per formula unit. The value obtained for the calculated formation energy is -419 meV per atom. The density of states at the Fermi level comes out at 0.41 states/eV/atom. The value obtained for the total energy is -52.54 eV for the cell shown.

Cell and atoms, written as POSCAR:
```
Tb2ErAl9
1.0
-2.3367 0.6191 3.5067
2.9672 -1.9804 2.3268
5.9047 11.1560 1.9651
Al Tb Er
9 2 1
Cartesian
6.4142 8.3254 2.8043
-0.1942 2.1500 2.0775
3.7623 9.6252 3.3942
2.4577 0.8502 1.4876
2.2819 3.0350 3.5713
1.7840 5.8876 2.7359
4.4360 4.5878 2.1460
4.2533 6.7598 4.2273
0.3153 -0.6806 2.9168
3.9415 7.4468 1.3117
1.9633 3.7093 0.6534
0.0000 0.0000 0.0000
```